No. 1
Compound: Pr2Dy3Ho2
Source: the Alexandria database
Functional: PBE-GGA
Structure: relaxed

Structure (extended XYZ):
```
14
Lattice="-2.158 -0.374 10.627 4.370 -0.597 -4.666 2.712 12.201 0.980" Properties=species:S:1:pos:R:3 pbc="T T T"
Pr 3.583 6.865 3.261
Pr 5.393 10.346 -1.788
Pr -0.469 0.885 8.730
Pr 1.342 4.365 3.681
Dy 1.356 6.101 0.490
Dy 6.004 11.418 1.628
Dy 1.716 1.871 5.956
Dy 1.924 8.244 6.224
Dy 3.001 2.986 0.717
Dy 3.209 9.360 0.985
Ho 4.134 10.133 4.417
Ho 4.478 7.016 -1.162
Ho 0.447 4.215 8.104
Ho 0.791 1.098 2.525
```

Results
Energy = -4.4935 eV per atom
Space group = No. 14

No. 2
Compound: Pr2DyHo3
Source: the Alexandria database
Functional: PBE-GGA
Structure: relaxed

Structure (extended XYZ):
```
12
Lattice="-1.664 1.287 2.921 -10.330 -4.857 -1.527 -7.852 -12.820 3.395" Properties=species:S:1:pos:R:3 pbc="T T T"
Pr -13.490 -11.579 4.072
Pr -6.356 -4.810 0.716
Pr -8.685 -6.977 2.563
Pr -11.161 -9.411 2.225
Dy -10.040 -12.119 4.057
Dy -9.806 -4.270 0.731
Ho -7.299 -10.368 2.629
Ho -12.547 -6.021 2.159
Ho -15.670 -14.318 4.036
Ho -4.176 -2.071 0.752
Ho -14.780 -8.912 2.161
Ho -5.067 -7.477 2.627
```

Results
Energy = -4.6143 eV per atom
Space group = No. 12

No. 3
Compound: Pr9Dy2Ho3
Source: the Alexandria database
Functional: PBE-GGA
Structure: relaxed

Structure (extended XYZ):
```
28
Lattice="-5.254 -7.456 0.370 2.961 3.102 -8.059 11.455 -8.016 1.123" Properties=species:S:1:pos:R:3 pbc="T T T"
Pr 7.636 -8.025 -3.779
Pr 3.208 -7.260 -4.008
Pr -1.597 -3.898 -4.479
Pr 9.202 -6.158 -6.433
Pr -3.289 -5.947 -1.835
Pr 1.515 -9.309 -1.364
Pr -1.276 -2.935 -0.870
Pr 3.528 -6.297 -0.399
Pr -0.442 -7.265 -3.556
Pr 9.603 -5.106 -3.010
Pr 10.438 -9.435 -5.696
Pr 5.634 -6.073 -6.167
Pr 7.647 -3.062 -5.203
Pr 12.451 -6.424 -4.732
Pr -0.041 -6.213 -0.133
Pr 5.954 -5.110 -2.559
Pr 10.758 -8.472 -2.088
Pr 1.526 -4.345 -2.787
Dy 4.850 -9.091 -1.718
Dy 7.301 -10.807 -1.477
Dy 1.861 -1.564 -5.089
Dy 4.312 -3.279 -4.849
Ho 1.373 -5.030 -6.118
Ho 4.692 -0.423 -7.088
Ho 3.193 -1.811 -1.701
Ho 5.968 -10.560 -4.865
Ho 4.469 -11.947 0.521
Ho 7.789 -7.340 -0.449
```

Results
Energy = -4.4753 eV per atom
Space group = No. 176

No. 4
Compound: Pr14DyHo
Source: the Alexandria database
Functional: PBE-GGA
Structure: relaxed

Structure (extended XYZ):
```
16
Lattice="7.311 0.980 0.000 -0.982 7.311 0.000 0.000 0.000 10.450" Properties=species:S:1:pos:R:3 pbc="T T T"
Pr 2.125 4.939 5.225
Pr 6.277 1.769 5.225
Pr 5.783 5.424 0.000
Pr 5.783 5.425 5.225
Pr 2.621 1.283 0.000
Pr 2.620 1.282 5.225
Pr 3.708 7.007 7.866
Pr 3.708 7.007 2.583
Pr 0.547 2.867 7.866
Pr 0.547 2.867 2.583
Pr 0.054 6.520 7.868
Pr 0.054 6.520 2.581
Pr 4.201 3.354 7.865
Pr 4.201 3.354 2.585
Dy 6.275 1.771 0.000
Ho 2.128 4.937 0.000
```

Results
Energy = -4.7427 eV per atom
Space group = No. 123

No. 5
Compound: Pr8DyHo2
Source: the Alexandria database
Functional: PBE-GGA
Structure: relaxed

Structure (extended XYZ):
```
11
Lattice="5.514 0.316 -0.199 -0.570 8.164 -2.735 0.276 0.536 8.608" Properties=species:S:1:pos:R:3 pbc="T T T"
Pr 5.153 8.602 3.179
Pr 5.380 6.552 6.228
Pr 2.562 5.951 3.812
Pr 2.819 2.624 5.639
Pr 2.401 6.392 0.036
Pr 2.658 3.065 1.863
Pr -0.160 2.465 -0.553
Pr 0.067 0.414 2.496
Dy 2.757 0.158 -0.099
Ho -0.248 5.258 1.587
Ho -0.046 3.442 4.287
```

Results
Energy = -4.5729 eV per atom
Space group = No. 65

No. 6
Compound: PrDy2Ho3
Source: the Alexandria database
Functional: PBE-GGA
Structure: relaxed

Structure (extended XYZ):
```
12
Lattice="6.591 0.500 -0.525 -1.106 6.517 -0.525 -0.561 -0.718 8.902" Properties=species:S:1:pos:R:3 pbc="T T T"
Pr -0.510 5.762 1.700
Pr 5.434 0.537 6.151
Dy 5.258 2.798 0.457
Dy 3.759 0.880 2.944
Dy -0.334 3.501 7.395
Dy 1.166 5.419 4.908
Ho 0.416 1.856 4.135
Ho 3.504 5.806 -0.734
Ho 4.508 4.442 3.717
Ho 1.420 0.493 8.586
Ho 2.046 3.764 1.700
Ho 2.878 2.535 6.151
```

Results
Energy = -4.5513 eV per atom
Space group = No. 15

No. 7
Compound: Pr8Dy3Ho
Source: the Alexandria database
Functional: PBE-GGA
Structure: relaxed

Structure (extended XYZ):
```
12
Lattice="12.099 0.000 0.000 -6.050 8.734 -7.207 0.000 -5.361 8.342" Properties=species:S:1:pos:R:3 pbc="T T T"
Pr 0.000 0.359 3.504
Pr 6.050 3.014 -2.369
Pr 3.017 -4.008 7.115
Pr 9.082 -4.008 7.115
Pr 6.050 0.351 3.513
Pr 0.000 3.022 -2.378
Pr -3.033 7.381 -5.980
Pr 3.033 7.381 -5.980
Dy 6.050 0.000 0.000
Dy 3.025 4.367 -3.603
Dy -3.025 4.367 -3.603
Ho 0.000 0.000 0.000
```

Results
Energy = -4.6096 eV per atom
Space group = No. 12

No. 8
Compound: Pr2Dy5Ho5
Source: the Alexandria database
Functional: PBE-GGA
Structure: relaxed

Structure (extended XYZ):
```
12
Lattice="-3.267 3.785 0.599 -3.942 1.032 -6.848 -9.428 -4.941 0.970" Properties=species:S:1:pos:R:3 pbc="T T T"
Pr -11.702 0.200 -1.578
Pr -4.936 -0.324 -3.700
Dy -8.319 -0.062 -2.639
Dy -2.403 1.604 -2.075
Dy -7.342 1.282 -5.802
Dy -9.295 -1.406 0.524
Dy -14.234 -1.728 -3.203
Ho -10.729 1.540 -4.738
Ho -10.855 -1.992 -4.277
Ho -5.782 1.868 -1.001
Ho -5.908 -1.664 -0.540
Ho 0.000 0.000 0.000
```

Results
Energy = -4.6003 eV per atom
Space group = No. 12

No. 9
Compound: Pr12DyHo6
Source: the Alexandria database
Functional: PBE-GGA
Structure: relaxed

Structure (extended XYZ):
```
19
Lattice="9.108 -0.615 -3.102 -4.146 8.133 -3.102 -0.406 -0.615 9.614" Properties=species:S:1:pos:R:3 pbc="T T T"
Pr 2.915 -0.119 4.247
Pr -2.035 4.456 1.598
Pr 3.720 2.634 -2.404
Pr 1.641 7.024 -0.838
Pr 6.592 2.448 1.811
Pr 0.837 4.271 5.813
Pr -0.002 0.760 6.280
Pr -1.665 6.607 4.511
Pr 6.226 1.067 5.183
Pr 4.559 6.144 -2.870
Pr 6.222 0.297 -1.101
Pr -1.670 5.837 -1.774
Dy 0.000 0.000 0.000
Ho 0.447 2.162 2.882
Ho 3.706 3.396 3.794
Ho 1.281 5.643 2.485
Ho 4.110 4.743 0.527
Ho 0.851 3.508 -0.384
Ho 3.276 1.261 0.925
```

Results
Energy = -4.6888 eV per atom
Space group = No. 148

No. 10
Compound: Pr3Dy2Ho
Source: the Alexandria database
Functional: PBE-GGA
Structure: relaxed

Structure (extended XYZ):
```
12
Lattice="11.663 0.000 0.000 0.000 6.307 -0.294 0.000 -2.902 5.607" Properties=species:S:1:pos:R:3 pbc="T T T"
Pr 5.478 -1.370 4.623
Pr 11.310 -1.368 4.627
Pr 5.478 1.701 2.654
Pr 11.310 1.704 2.659
Pr 11.310 4.775 0.691
Pr 5.478 4.773 0.686
Dy 8.393 -0.398 2.757
Dy 2.561 0.733 4.523
Dy 2.561 3.803 2.556
Dy 8.393 2.672 0.790
Ho 8.394 2.839 4.430
Ho 2.562 0.566 0.883
```

Results
Energy = -4.6894 eV per atom
Space group = No. 63

No. 11
Compound: PrDyHo4
Source: the Alexandria database
Functional: PBE-GGA
Structure: relaxed

Structure (extended XYZ):
```
6
Lattice="6.587 0.000 0.000 3.293 5.704 0.000 3.293 1.901 5.378" Properties=species:S:1:pos:R:3 pbc="T T T"
Pr 3.293 1.901 1.345
Ho 6.587 3.803 0.665
Ho 6.587 1.895 3.364
Ho 8.240 4.757 3.364
Ho 4.934 4.757 3.364
Dy 0.000 0.000 0.000
```

Results
Energy = -4.3374 eV per atom
Space group = No. 216

No. 12
Compound: Pr2Dy2Ho5
Source: the Alexandria database
Functional: PBE-GGA
Structure: relaxed

Structure (extended XYZ):
```
9
Lattice="-1.258 -2.600 1.957 6.931 -0.021 4.426 -8.998 8.443 2.321" Properties=species:S:1:pos:R:3 pbc="T T T"
Pr -1.354 3.237 6.538
Pr -1.971 2.585 2.167
Dy 3.583 -0.647 4.553
Dy -6.908 6.468 4.151
Ho 1.593 1.404 5.997
Ho -4.918 4.418 2.707
Ho -4.665 4.467 6.045
Ho 1.339 1.354 2.659
Ho 0.000 0.000 0.000
```

Results
Energy = -4.4034 eV per atom
Space group = No. 12

No. 13
Compound: Pr5DyHo
Source: the Alexandria database
Functional: PBE-GGA
Structure: relaxed

Structure (extended XYZ):
```
7
Lattice="5.596 -0.003 2.046 2.180 7.355 2.691 0.196 0.566 8.107" Properties=species:S:1:pos:R:3 pbc="T T T"
Pr 4.796 1.967 4.222
Pr 0.837 2.760 6.356
Pr 2.798 -0.002 1.023
Pr 1.539 5.160 4.442
Pr 3.176 5.950 8.622
Dy 3.986 3.958 6.422
Ho 0.000 0.000 0.000
```

Results
Energy = -3.7658 eV per atom
Space group = No. 12

No. 14
Compound: Pr5Dy4Ho4
Source: the Alexandria database
Functional: PBE-GGA
Structure: relaxed

Structure (extended XYZ):
```
13
Lattice="-1.001 0.516 -4.957 -9.050 -2.849 -1.075 -3.387 8.871 -0.999" Properties=species:S:1:pos:R:3 pbc="T T T"
Pr -10.924 4.749 -5.118
Pr -2.515 1.789 -1.912
Pr 0.000 0.000 0.000
Pr -8.000 -0.516 -3.650
Pr -5.438 7.054 -3.380
Dy -7.438 5.280 -5.767
Dy -4.987 3.527 -3.838
Dy -6.001 1.259 -1.263
Dy -8.451 3.012 -3.192
Ho -4.547 -0.017 -4.296
Ho -8.891 6.556 -2.735
Ho -10.504 1.255 -5.567
Ho -2.934 5.283 -1.464
```

Results
Energy = -4.6418 eV per atom
Space group = No. 87

No. 15
Compound: Pr7DyHo12
Source: the Alexandria database
Functional: PBE-GGA
Structure: relaxed

Structure (extended XYZ):
```
20
Lattice="8.489 1.303 1.955 -1.109 8.516 1.955 -1.109 -1.476 8.612" Properties=species:S:1:pos:R:3 pbc="T T T"
Pr 5.476 4.864 10.733
Pr 3.121 0.985 2.286
Pr 0.078 0.849 3.900
Pr 3.135 4.171 6.261
Pr 6.192 7.493 8.623
Pr 3.150 7.358 10.236
Pr 0.794 3.479 1.789
Dy 0.000 0.000 0.000
Ho 6.180 2.179 8.424
Ho 5.896 3.088 3.241
Ho 4.526 1.224 5.748
Ho 6.353 4.844 5.982
Ho 1.327 0.479 7.267
Ho 2.886 2.651 9.179
Ho 3.384 5.692 3.343
Ho 4.944 7.864 5.255
Ho -0.083 3.499 6.540
Ho 1.744 7.119 6.774
Ho 0.374 5.255 9.282
Ho 0.091 6.164 4.098
```

Results
Energy = -4.4216 eV per atom
Space group = No. 148

No. 16
Compound: PrDyHo6
Source: the Alexandria database
Functional: PBE-GGA
Structure: relaxed

Structure (extended XYZ):
```
8
Lattice="6.099 -0.192 2.366 -0.413 6.298 1.639 0.817 1.463 7.396" Properties=species:S:1:pos:R:3 pbc="T T T"
Pr 0.000 0.000 0.000
Dy -0.207 3.149 0.819
Ho 0.617 5.487 4.949
Ho 3.527 5.286 6.470
Ho 2.975 2.284 4.931
Ho 5.885 2.082 6.452
Ho 3.566 6.074 9.801
Ho 2.936 1.495 1.599
```

Results
Energy = -4.4038 eV per atom
Space group = No. 2

No. 17
Compound: Pr2Dy3Ho
Source: the Alexandria database
Functional: PBE-GGA
Structure: relaxed

Structure (extended XYZ):
```
12
Lattice="-5.027 -0.267 4.430 -9.651 -3.199 -1.047 -2.371 -7.080 6.980" Properties=species:S:1:pos:R:3 pbc="T T T"
Pr -8.874 -2.545 2.451
Pr -14.540 -6.082 5.880
Pr -2.508 -4.464 4.483
Pr -8.175 -8.002 7.913
Dy -11.485 -4.432 4.411
Dy -5.564 -6.115 5.953
Dy -8.856 -6.894 4.684
Dy -5.693 -3.512 3.450
Dy -8.192 -3.653 5.680
Dy -11.356 -7.035 6.914
Ho -2.513 -0.134 2.215
Ho 0.000 0.000 0.000
```

Results
Energy = -4.4663 eV per atom
Space group = No. 15

No. 18
Compound: Pr2Dy3Ho4
Source: the Alexandria database
Functional: PBE-GGA
Structure: relaxed

Structure (extended XYZ):
```
18
Lattice="5.801 1.649 1.181 2.273 11.024 0.745 2.273 4.257 10.196" Properties=species:S:1:pos:R:3 pbc="T T T"
Pr 4.174 5.481 5.988
Pr 3.273 8.671 8.272
Pr 6.173 11.449 6.134
Pr 7.074 8.259 3.850
Dy 5.215 3.117 3.632
Dy 8.033 13.313 10.932
Dy 5.132 13.814 8.490
Dy 2.315 3.618 1.190
Dy 3.724 8.722 4.831
Dy 6.624 8.208 7.291
Ho 4.938 11.489 3.070
Ho 2.509 9.498 1.644
Ho 5.409 5.441 9.052
Ho 7.839 7.432 10.478
Ho 1.783 3.529 4.501
Ho 5.664 10.708 9.641
Ho 8.564 13.402 7.621
Ho 4.684 6.223 2.481
```

Results
Energy = -4.5362 eV per atom
Space group = No. 15

No. 19
Compound: Pr2Dy7Ho3
Source: the Alexandria database
Functional: PBE-GGA
Structure: relaxed

Structure (extended XYZ):
```
12
Lattice="3.520 0.000 0.000 0.000 6.298 0.759 0.000 2.360 17.786" Properties=species:S:1:pos:R:3 pbc="T T T"
Pr 1.760 4.641 6.281
Pr 1.760 4.017 12.263
Dy 1.760 2.708 9.097
Dy 1.760 5.950 9.448
Dy 0.000 3.926 3.317
Dy 0.000 0.000 0.000
Dy 0.000 4.732 15.228
Dy 1.760 7.870 15.538
Dy 1.760 0.788 3.006
Ho 1.760 3.149 0.380
Ho 0.000 1.502 6.171
Ho 0.000 7.156 12.373
```

Results
Energy = -4.5479 eV per atom
Space group = No. 10